Below is a relaxed KBe2Au crystal, with properties calculated at the GGA-PBE level.

The calculation puts the energy relative to the lowest polymorph listed for this composition at 0.967 eV per atom. As for the energy of formation from the pure elements: 0.90 eV/atom. As for the uncorrected energy: -2.054 eV/atom.

It has space group Pmmm (No. 47), with a = 2.785 Å, b = 4.963 Å, c = 5.278 Å, α = 90.00°, β = 90.00° and γ = 90.00°. The inequivalent atoms are K at (0.000, 0.000, 0.000), Be at (0.000, 0.500, 0.500), Be at (0.500, 0.500, 0.000) and Au at (0.500, 0.000, 0.500).